A plane-wave DFT calculation with PBE was carried out for a relaxed structure of NiAg2Mo.

Computed properties:
DOS(E_F), states/eV/f.u.: 3.59
Spin magnetization, μB/atom: 0.00
Energy relative to the lowest polymorph listed for this composition, meV per atom: 66
Space group: No. 160

Cell lengths 9.3570, 9.3570, 9.3570 Å; angles 17.24, 17.24, 17.24 degrees
Fractional positions:
Mo1 0.4918 0.4918 0.4918
Ni1 0.7536 0.7536 0.7536
Ag1 0.0058 0.0058 0.0058
Ag2 0.2488 0.2488 0.2488